The following is a DFT calculation (PBE) of an optimized crystal structure of TiBiRuPb2.

```
TiBiRuPb2
1.0
-3.276 2.712 -3.039
-3.225 0.744 4.140
2.545 4.408 1.190
Pb Ru Bi Ti
2 1 1 1
direct
0.000 0.000 0.500
0.500 0.000 0.000
0.000 0.000 0.000
0.000 0.500 0.000
0.500 0.500 0.500
```

Summary:
- crystal system = tetragonal
- DFT total energy (Ry per atom) = -0.3568
- symmetry = P4/mmm, No. 123
- DFT formation energy (eV per atom) = 0.84